Entry 1:
# HfTi2Au

A geometry-optimized HfTi2Au structure (PBE, Alexandria via LeMat-Bulk).

Properties
E = -7.48 eV per atom
Volume = 18.455 Å³/atom

Cell and atoms, written as POSCAR:
```
HfTi2Au
1.0
3.0924 0.0000 0.0000
0.0000 3.0924 0.0000
0.0000 0.0000 7.7189
Ti Hf Au
2 1 1
Direct
0.0000 0.0000 0.2387 Ti
0.0000 0.0000 0.7613 Ti
0.5000 0.5000 0.5000 Hf
0.5000 0.5000 0.0000 Au
```


Entry 2:
# HfTi3Au

A geometry-optimized HfTi3Au structure (PBE, Alexandria via LeMat-Bulk).

Properties
E = -6.22 eV per atom
Volume = 22.088 Å³/atom

Cell and atoms, written as POSCAR:
```
HfTi3Au
1.0
-0.9802 2.1550 4.1730
-4.2517 1.4039 -1.7237
-1.9953 -4.0502 1.6229
Ti Hf Au
3 1 1
Direct
0.0000 0.5000 0.0000 Ti
0.5000 0.0000 0.0000 Ti
0.0000 0.0000 0.5000 Ti
0.0000 0.0000 0.0000 Hf
0.5000 0.5000 0.5000 Au
```


Entry 3:
# HfTi2Au

A geometry-optimized HfTi2Au structure (PBE, Alexandria via LeMat-Bulk).

Properties
E = -7.10 eV per atom
Volume = 19.671 Å³/atom

Cell and atoms, written as POSCAR:
```
HfTi2Au
1.0
7.5179 0.0000 0.0000
0.0000 7.5179 0.0000
3.7590 3.7590 2.7843
Ti Au Hf
4 2 2
Direct
0.0980 0.6250 0.2500 Ti
0.3750 0.3480 0.7500 Ti
0.6520 0.1250 0.2500 Ti
0.8750 0.9020 0.7500 Ti
0.7500 0.2500 0.5000 Au
0.0000 0.0000 0.0000 Au
0.2500 0.7500 0.5000 Hf
0.5000 0.5000 0.0000 Hf
```


Entry 4:
# Hf2TiAu6

A geometry-optimized Hf2TiAu6 structure (PBE, Alexandria via LeMat-Bulk).

Properties
E = -5.70 eV per atom
Volume = 18.653 Å³/atom

Cell and atoms, written as POSCAR:
```
Hf2TiAu6
1.0
4.9137 0.1695 0.5445
0.7073 8.1062 2.1462
0.3046 -0.3219 8.4035
Au Ti Hf
12 2 4
Direct
0.6407 0.0952 0.3424 Au
0.1932 0.9838 0.2330 Au
0.3593 0.9048 0.6576 Au
0.8593 0.6576 0.9048 Au
0.5257 0.3163 0.5696 Au
0.8068 0.0162 0.7670 Au
0.9743 0.4304 0.6837 Au
0.6932 0.2330 0.9838 Au
0.0257 0.5696 0.3163 Au
0.1407 0.3424 0.0952 Au
0.3068 0.7670 0.0162 Au
0.4743 0.6837 0.4304 Au
0.7500 0.8767 0.1233 Ti
0.2500 0.1233 0.8767 Ti
0.4173 0.5410 0.7930 Hf
0.5827 0.4590 0.2070 Hf
0.9173 0.7930 0.5410 Hf
0.0827 0.2070 0.4590 Hf
```